PmPu4Se5: optimized geometry, PBE.

```
PmPu4Se5
1.0
-2.081 2.942 10.390
2.081 -2.942 10.390
2.081 2.942 -10.390
Pm Pu Se
1 4 5
Direct
0.000 0.000 0.000
0.200 0.200 0.000
0.401 0.401 0.000
0.599 0.599 0.000
0.800 0.800 0.000
0.102 0.602 0.500
0.301 0.801 0.500
0.500 0.000 0.500
0.699 0.199 0.500
0.898 0.398 0.500
```

The value obtained for the theoretical density is 9.89 Mg/m³. The total magnetization is 23.044 μB per formula unit. The uncorrected formation energy is -1598 meV/atom.